1.
Entry from Alexandria via LeMat-Bulk: a relaxed structure of MgRe2GePd (PBE-GGA).

Summary:
Total magnetic moment (μB per formula unit): 0.00
DFT formation energy (eV/atom): 1.133
Mass density (g cm⁻³): 9.8

Lattice parameters (Å, degrees): 4.602 4.602 4.597 90.00 90.00 90.00
Positions (direct):
Mg (0.000, 0.000, 0.000)
Re (0.000, 0.500, 0.500)
Re (0.500, 0.000, 0.500)
Ge (0.500, 0.500, 0.500)
Pd (0.500, 0.500, 0.000)

2.
Entry from Alexandria via LeMat-Bulk: a relaxed structure of MgGePdRu (PBE-GGA).

Summary:
Total magnetic moment (μB per formula unit): 0.00
DFT formation energy (eV/atom): -0.379
Mass density (g cm⁻³): 8.6

Lattice parameters (Å, degrees): 4.358 4.358 4.358 60.00 60.00 60.00
Positions (direct):
Mg (0.000, 0.000, 0.000)
Ge (0.500, 0.500, 0.500)
Pd (0.750, 0.750, 0.750)
Ru (0.250, 0.250, 0.250)

3.
Entry from Alexandria via LeMat-Bulk: a relaxed structure of Mg2Si2GePd5 (PBE-GGA).

Summary:
Total magnetic moment (μB per formula unit): 0.00
Formation energy without anion corrections (eV per atom): -0.567
Mass density (g cm⁻³): 7.3

Lattice parameters (Å, degrees): 9.708 9.708 3.409 90.00 90.00 90.00
Positions (direct):
Mg (0.171, 0.329, 0.000)
Mg (0.329, 0.829, 0.000)
Mg (0.671, 0.171, 0.000)
Mg (0.829, 0.671, 0.000)
Si (0.129, 0.629, 0.000)
Si (0.371, 0.129, 0.000)
Si (0.629, 0.871, 0.000)
Si (0.871, 0.371, 0.000)
Ge (0.000, 0.000, 0.000)
Ge (0.500, 0.500, 0.000)
Pd (0.000, 0.500, 0.500)
Pd (0.075, 0.798, 0.500)
Pd (0.202, 0.075, 0.500)
Pd (0.298, 0.575, 0.500)
Pd (0.425, 0.298, 0.500)
Pd (0.500, 0.000, 0.500)
Pd (0.575, 0.702, 0.500)
Pd (0.702, 0.425, 0.500)
Pd (0.798, 0.925, 0.500)
Pd (0.925, 0.202, 0.500)

4.
Entry from Alexandria via LeMat-Bulk: a relaxed structure of SmMgGe2Pd5 (PBE-GGA).

Summary:
Total magnetic moment (μB per formula unit): 0.00
DFT formation energy (eV/atom): -0.622
Mass density (g cm⁻³): 8.7

Lattice parameters (Å, degrees): 4.230 4.230 9.083 90.00 90.00 90.00
Positions (direct):
Sm (0.000, 0.000, 0.000)
Mg (0.000, 0.000, 0.500)
Ge (0.500, 0.500, 0.369)
Ge (0.500, 0.500, 0.631)
Pd (0.000, 0.500, 0.232)
Pd (0.000, 0.500, 0.768)
Pd (0.500, 0.000, 0.232)
Pd (0.500, 0.000, 0.768)
Pd (0.500, 0.500, 0.000)

5.
Entry from Alexandria via LeMat-Bulk: a relaxed structure of SmMgGe2Pd (PBE-GGA).

Summary:
Total magnetic moment (μB per formula unit): 0.00
DFT formation energy (eV/atom): -0.734
Mass density (g cm⁻³): 7.2

Lattice parameters (Å, degrees): 6.371 6.371 6.371 141.85 141.85 55.05
Positions (direct):
Sm (0.000, 0.000, 0.000)
Mg (0.750, 0.250, 0.500)
Ge (0.391, 0.391, 0.000)
Ge (0.609, 0.609, 0.000)
Pd (0.250, 0.750, 0.500)

6.
Entry from Alexandria via LeMat-Bulk: a relaxed structure of SmMg2Ge2Pd2 (PBE-GGA).

Summary:
Total magnetic moment (μB per formula unit): 0.00
DFT formation energy (eV/atom): -0.690
Mass density (g cm⁻³): 6.7

Lattice parameters (Å, degrees): 8.852 8.852 8.852 28.39 28.39 28.39
Positions (direct):
Sm (0.000, 0.000, 0.000)
Mg (0.134, 0.134, 0.134)
Mg (0.866, 0.866, 0.866)
Ge (0.406, 0.406, 0.406)
Ge (0.594, 0.594, 0.594)
Pd (0.245, 0.245, 0.245)
Pd (0.755, 0.755, 0.755)

7.
Entry from Alexandria via LeMat-Bulk: a relaxed structure of SmMgGe2Pd2 (PBE-GGA).

Summary:
Total magnetic moment (μB per formula unit): 0.00
DFT formation energy (eV/atom): -0.766
Mass density (g cm⁻³): 7.8

Lattice parameters (Å, degrees): 4.352 4.352 6.915 90.00 90.00 120.00
Positions (direct):
Sm (0.000, 0.000, 0.000)
Mg (0.000, 0.000, 0.500)
Ge (0.333, 0.667, 0.267)
Ge (0.667, 0.333, 0.733)
Pd (0.333, 0.667, 0.673)
Pd (0.667, 0.333, 0.327)

8.
Entry from Alexandria via LeMat-Bulk: a relaxed structure of Sm2MgGe3Pd4 (PBE-GGA).

Summary:
Total magnetic moment (μB per formula unit): 0.00
DFT formation energy (eV/atom): -0.801
Mass density (g cm⁻³): 8.3

Lattice parameters (Å, degrees): 4.294 4.294 10.493 90.00 90.00 90.00
Positions (direct):
Sm (0.000, 0.500, 0.240)
Sm (0.500, 0.000, 0.760)
Mg (0.000, 0.000, 0.500)
Ge (0.000, 0.500, 0.870)
Ge (0.500, 0.000, 0.130)
Ge (0.500, 0.500, 0.500)
Pd (0.000, 0.000, 0.000)
Pd (0.000, 0.500, 0.638)
Pd (0.500, 0.000, 0.362)
Pd (0.500, 0.500, 0.000)